1.
Computed, not measured: an optimized crystal structure of KNaMn3 at the PBE level of DFT.

Output
Energy relative to the elements (eV per atom): 1.52
DOS at the Fermi energy (states/eV per atom): 1.772
Density (g/cm³): 2.41

a b c (Å): 5.389 5.389 5.389
angles (deg): 90.00 90.00 90.00
Element x y z (fractional)
1 Na 0.000 0.000 0.000
2 K 0.500 0.500 0.500
3 Mn 0.000 0.500 0.000
4 Mn 0.000 0.000 0.500
5 Mn 0.500 0.000 0.000

=====

2.
Computed, not measured: an optimized crystal structure of KNaMn2 at the PBE level of DFT.

Output
Energy relative to the elements (eV per atom): 1.09
DOS at the Fermi energy (states/eV per atom): 1.033
Density (g/cm³): 2.74

a b c (Å): 4.182 4.182 12.273
angles (deg): 80.19 80.19 90.00
Element x y z (fractional)
1 Na 0.500 0.500 0.000
2 Na 0.250 0.750 0.500
3 K 0.000 0.000 0.000
4 K 0.750 0.250 0.500
5 Mn 0.612 0.125 0.250
6 Mn 0.138 0.625 0.250
7 Mn 0.375 0.388 0.750
8 Mn 0.875 0.862 0.750

=====

3.
Computed, not measured: an optimized crystal structure of KNaMn2 at the PBE level of DFT.

Output
Energy relative to the elements (eV per atom): 1.12
DOS at the Fermi energy (states/eV per atom): 0.859
Density (g/cm³): 2.42

a b c (Å): 5.509 5.509 5.509
angles (deg): 60.00 60.00 60.00
Element x y z (fractional)
1 Na 0.000 0.000 0.000
2 K 0.500 0.500 0.500
3 Mn 0.250 0.250 0.250
4 Mn 0.750 0.750 0.750

=====

4.
Computed, not measured: an optimized crystal structure of KNa2Mn2 at the PBE level of DFT.

Output
Energy relative to the elements (eV per atom): 0.87
DOS at the Fermi energy (states/eV per atom): 1.389
Density (g/cm³): 1.91

a b c (Å): 4.956 4.956 7.753
angles (deg): 71.36 71.36 90.00
Element x y z (fractional)
1 Na 0.750 0.250 0.500
2 Na 0.250 0.750 0.500
3 K 0.000 0.000 0.000
4 Mn 0.406 0.406 0.187
5 Mn 0.594 0.594 0.813